# KTmCuTe2 | Alexandria | PBE | optimized geometry
# **Crystal system**: monoclinic
# **ρ**: 5.5 g cm⁻³
# **SG**: P2/c
data_KTmCuTe2
_chemical_formula_sum 'K2 Tm2 Cu2 Te4'
_cell_length_a 8.364
_cell_length_b 4.428
_cell_length_c 8.695
_cell_angle_alpha 90.00
_cell_angle_beta 95.06
_cell_angle_gamma 90.00
_space_group_name_H-M_alt 'P 1'
_space_group_IT_number 1
_space_group_name_Hall 'P 1'
loop_
_atom_site_label
_atom_site_type_symbol
_atom_site_fract_x
_atom_site_fract_y
_atom_site_fract_z
K1 K 0.000 0.110 0.250
K2 K 0.000 0.890 0.750
Tm1 Tm 0.500 0.496 0.750
Tm2 Tm 0.500 0.504 0.250
Cu1 Cu 0.500 0.000 0.000
Cu2 Cu 0.500 0.000 0.500
Te1 Te 0.260 0.365 0.981
Te2 Te 0.260 0.635 0.481
Te3 Te 0.740 0.365 0.519
Te4 Te 0.740 0.635 0.019



# K4U3CuTe8 | Alexandria | PBE | optimized geometry
# **Crystal system**: monoclinic
# **ρ**: 5.7 g cm⁻³
# **SG**: C2/m
data_K4U3CuTe8
_chemical_formula_sum 'K4 U3 Cu1 Te8'
_cell_length_a 8.949
_cell_length_b 8.949
_cell_length_c 9.704
_cell_angle_alpha 117.51
_cell_angle_beta 117.51
_cell_angle_gamma 59.85
_space_group_name_H-M_alt 'P 1'
_space_group_IT_number 1
_space_group_name_Hall 'P 1'
loop_
_atom_site_label
_atom_site_type_symbol
_atom_site_fract_x
_atom_site_fract_y
_atom_site_fract_z
K1 K 0.000 0.000 0.000
K2 K 0.000 0.500 0.000
K3 K 0.500 0.000 0.000
K4 K 0.500 0.500 0.000
U1 U 0.000 0.000 0.500
U2 U 0.000 0.500 0.500
U3 U 0.500 0.000 0.500
Cu1 Cu 0.500 0.500 0.500
Te1 Te 0.237 0.237 0.713
Te2 Te 0.242 0.728 0.700
Te3 Te 0.269 0.269 0.299
Te4 Te 0.272 0.758 0.300
Te5 Te 0.728 0.242 0.700
Te6 Te 0.731 0.731 0.701
Te7 Te 0.758 0.272 0.300
Te8 Te 0.763 0.763 0.287



# K2UCuTe4 | Alexandria | PBE | optimized geometry
# **Crystal system**: tetragonal
# **ρ**: 5.6 g cm⁻³
# **SG**: I-42m
data_K2UCuTe4
_chemical_formula_sum 'K2 U1 Cu1 Te4'
_cell_length_a 7.042
_cell_length_b 7.042
_cell_length_c 7.042
_cell_angle_alpha 105.54
_cell_angle_beta 105.54
_cell_angle_gamma 117.66
_space_group_name_H-M_alt 'P 1'
_space_group_IT_number 1
_space_group_name_Hall 'P 1'
loop_
_atom_site_label
_atom_site_type_symbol
_atom_site_fract_x
_atom_site_fract_y
_atom_site_fract_z
K1 K 0.000 0.500 0.500
K2 K 0.500 0.000 0.500
U1 U 0.000 0.000 0.000
Cu1 Cu 0.500 0.500 0.000
Te1 Te 0.102 0.102 0.650
Te2 Te 0.452 0.452 0.350
Te3 Te 0.548 0.898 0.000
Te4 Te 0.898 0.548 0.000



# K2U2CuTe6 | Alexandria | PBE | optimized geometry
# **Crystal system**: monoclinic
# **ρ**: 5.4 g cm⁻³
# **SG**: C2/m
data_K2U2CuTe6
_chemical_formula_sum 'K2 U2 Cu1 Te6'
_cell_length_a 7.776
_cell_length_b 7.776
_cell_length_c 8.827
_cell_angle_alpha 97.87
_cell_angle_beta 97.87
_cell_angle_gamma 124.11
_space_group_name_H-M_alt 'P 1'
_space_group_IT_number 1
_space_group_name_Hall 'P 1'
loop_
_atom_site_label
_atom_site_type_symbol
_atom_site_fract_x
_atom_site_fract_y
_atom_site_fract_z
K1 K 0.158 0.842 0.000
K2 K 0.842 0.158 0.000
U1 U 0.337 0.663 0.500
U2 U 0.663 0.337 0.500
Cu1 Cu 0.000 0.000 0.500
Te1 Te 0.062 0.416 0.704
Te2 Te 0.234 0.234 0.322
Te3 Te 0.416 0.062 0.704
Te4 Te 0.584 0.938 0.296
Te5 Te 0.766 0.766 0.678
Te6 Te 0.938 0.584 0.296



# KU2CuTe4 | Alexandria | PBE | optimized geometry
# **Crystal system**: orthorhombic
# **ρ**: 7.0 g cm⁻³
# **SG**: Cmcm
data_KU2CuTe4
_chemical_formula_sum 'K2 U4 Cu2 Te8'
_cell_length_a 7.928
_cell_length_b 7.928
_cell_length_c 15.435
_cell_angle_alpha 90.00
_cell_angle_beta 90.00
_cell_angle_gamma 148.03
_space_group_name_H-M_alt 'P 1'
_space_group_IT_number 1
_space_group_name_Hall 'P 1'
loop_
_atom_site_label
_atom_site_type_symbol
_atom_site_fract_x
_atom_site_fract_y
_atom_site_fract_z
K1 K 0.110 0.890 0.750
K2 K 0.890 0.110 0.250
U1 U 0.365 0.635 0.562
U2 U 0.365 0.635 0.938
U3 U 0.635 0.365 0.062
U4 U 0.635 0.365 0.438
Cu1 Cu 0.160 0.840 0.250
Cu2 Cu 0.840 0.160 0.750
Te1 Te 0.000 0.000 0.000
Te2 Te 0.000 0.000 0.500
Te3 Te 0.269 0.731 0.116
Te4 Te 0.269 0.731 0.384
Te5 Te 0.435 0.565 0.750
Te6 Te 0.565 0.435 0.250
Te7 Te 0.731 0.269 0.616
Te8 Te 0.731 0.269 0.884



# K2VCu2Te4 | Alexandria | PBE | optimized geometry
# **Crystal system**: monoclinic
# **ρ**: 5.1 g cm⁻³
# **SG**: C2/m
data_K2VCu2Te4
_chemical_formula_sum 'K2 V1 Cu2 Te4'
_cell_length_a 7.944
_cell_length_b 7.944
_cell_length_c 8.338
_cell_angle_alpha 108.37
_cell_angle_beta 108.37
_cell_angle_gamma 30.04
_space_group_name_H-M_alt 'P 1'
_space_group_IT_number 1
_space_group_name_Hall 'P 1'
loop_
_atom_site_label
_atom_site_type_symbol
_atom_site_fract_x
_atom_site_fract_y
_atom_site_fract_z
K1 K 0.132 0.132 0.067
K2 K 0.868 0.868 0.933
V1 V 0.000 0.000 0.500
Cu1 Cu 0.310 0.310 0.514
Cu2 Cu 0.690 0.690 0.486
Te1 Te 0.191 0.191 0.683
Te2 Te 0.483 0.483 0.715
Te3 Te 0.517 0.517 0.285
Te4 Te 0.809 0.809 0.317



# KYCuTe2 | Alexandria | PBE | optimized geometry
# **Crystal system**: monoclinic
# **ρ**: 4.5 g cm⁻³
# **SG**: P2/c
data_KYCuTe2
_chemical_formula_sum 'K2 Y2 Cu2 Te4'
_cell_length_a 8.417
_cell_length_b 4.580
_cell_length_c 8.691
_cell_angle_alpha 90.00
_cell_angle_beta 96.84
_cell_angle_gamma 90.00
_space_group_name_H-M_alt 'P 1'
_space_group_IT_number 1
_space_group_name_Hall 'P 1'
loop_
_atom_site_label
_atom_site_type_symbol
_atom_site_fract_x
_atom_site_fract_y
_atom_site_fract_z
K1 K 0.000 0.148 0.250
K2 K 0.000 0.852 0.750
Y1 Y 0.500 0.495 0.750
Y2 Y 0.500 0.505 0.250
Cu1 Cu 0.500 0.000 0.000
Cu2 Cu 0.500 0.000 0.500
Te1 Te 0.259 0.336 0.974
Te2 Te 0.259 0.664 0.474
Te3 Te 0.741 0.336 0.526
Te4 Te 0.741 0.664 0.026



# KY2CuTe4 | Alexandria | PBE | optimized geometry
# **Crystal system**: orthorhombic
# **ρ**: 5.2 g cm⁻³
# **SG**: Cmcm
data_KY2CuTe4
_chemical_formula_sum 'K2 Y4 Cu2 Te8'
_cell_length_a 7.839
_cell_length_b 7.839
_cell_length_c 15.451
_cell_angle_alpha 90.00
_cell_angle_beta 90.00
_cell_angle_gamma 147.53
_space_group_name_H-M_alt 'P 1'
_space_group_IT_number 1
_space_group_name_Hall 'P 1'
loop_
_atom_site_label
_atom_site_type_symbol
_atom_site_fract_x
_atom_site_fract_y
_atom_site_fract_z
K1 K 0.115 0.885 0.750
K2 K 0.885 0.115 0.250
Y1 Y 0.365 0.635 0.566
Y2 Y 0.365 0.635 0.934
Y3 Y 0.635 0.365 0.066
Y4 Y 0.635 0.365 0.434
Cu1 Cu 0.159 0.841 0.250
Cu2 Cu 0.841 0.159 0.750
Te1 Te 0.000 0.000 0.000
Te2 Te 0.000 0.000 0.500
Te3 Te 0.267 0.733 0.113
Te4 Te 0.267 0.733 0.387
Te5 Te 0.438 0.562 0.750
Te6 Te 0.562 0.438 0.250
Te7 Te 0.733 0.267 0.613
Te8 Te 0.733 0.267 0.887



# KY2CuTe | Alexandria | PBE | optimized geometry
# **Crystal system**: tetragonal
# **ρ**: 3.9 g cm⁻³
# **SG**: P4/mmm
data_KY2CuTe
_chemical_formula_sum 'K1 Y2 Cu1 Te1'
_cell_length_a 5.849
_cell_length_b 5.849
_cell_length_c 5.068
_cell_angle_alpha 90.00
_cell_angle_beta 90.00
_cell_angle_gamma 90.00
_space_group_name_H-M_alt 'P 1'
_space_group_IT_number 1
_space_group_name_Hall 'P 1'
loop_
_atom_site_label
_atom_site_type_symbol
_atom_site_fract_x
_atom_site_fract_y
_atom_site_fract_z
K1 K 0.000 0.000 0.000
Y1 Y 0.000 0.500 0.500
Y2 Y 0.500 0.000 0.500
Cu1 Cu 0.500 0.500 0.000
Te1 Te 0.500 0.500 0.500



# KYCuTe3 | Alexandria | PBE | optimized geometry
# **Crystal system**: monoclinic
# **ρ**: 4.8 g cm⁻³
# **SG**: C2/m
data_KYCuTe3
_chemical_formula_sum 'K2 Y2 Cu2 Te6'
_cell_length_a 8.777
_cell_length_b 8.777
_cell_length_c 9.109
_cell_angle_alpha 99.46
_cell_angle_beta 99.46
_cell_angle_gamma 34.78
_space_group_name_H-M_alt 'P 1'
_space_group_IT_number 1
_space_group_name_Hall 'P 1'
loop_
_atom_site_label
_atom_site_type_symbol
_atom_site_fract_x
_atom_site_fract_y
_atom_site_fract_z
K1 K 0.151 0.151 0.040
K2 K 0.849 0.849 0.960
Y1 Y 0.143 0.143 0.538
Y2 Y 0.857 0.857 0.462
Cu1 Cu 0.481 0.481 0.692
Cu2 Cu 0.519 0.519 0.308
Te1 Te 0.000 0.000 0.278
Te2 Te 0.000 0.000 0.722
Te3 Te 0.324 0.324 0.680
Te4 Te 0.361 0.361 0.264
Te5 Te 0.639 0.639 0.736
Te6 Te 0.676 0.676 0.320



# KZn2CuTe | Alexandria | PBE | optimized geometry
# **Crystal system**: tetragonal
# **ρ**: 4.6 g cm⁻³
# **SG**: P4/mmm
data_KZn2CuTe
_chemical_formula_sum 'K1 Zn2 Cu1 Te1'
_cell_length_a 4.863
_cell_length_b 4.863
_cell_length_c 5.498
_cell_angle_alpha 90.00
_cell_angle_beta 90.00
_cell_angle_gamma 90.00
_space_group_name_H-M_alt 'P 1'
_space_group_IT_number 1
_space_group_name_Hall 'P 1'
loop_
_atom_site_label
_atom_site_type_symbol
_atom_site_fract_x
_atom_site_fract_y
_atom_site_fract_z
K1 K 0.000 0.000 0.000
Zn1 Zn 0.000 0.500 0.500
Zn2 Zn 0.500 0.000 0.500
Cu1 Cu 0.500 0.500 0.500
Te1 Te 0.500 0.500 0.000



# KZnCuTe2 | Alexandria | PBE | optimized geometry
# **Crystal system**: tetragonal
# **ρ**: 5.0 g cm⁻³
# **SG**: I-4m2
data_KZnCuTe2
_chemical_formula_sum 'K1 Zn1 Cu1 Te2'
_cell_length_a 8.169
_cell_length_b 8.169
_cell_length_c 8.169
_cell_angle_alpha 149.52
_cell_angle_beta 149.52
_cell_angle_gamma 43.65
_space_group_name_H-M_alt 'P 1'
_space_group_IT_number 1
_space_group_name_Hall 'P 1'
loop_
_atom_site_label
_atom_site_type_symbol
_atom_site_fract_x
_atom_site_fract_y
_atom_site_fract_z
K1 K 0.000 0.000 0.000
Zn1 Zn 0.750 0.250 0.500
Cu1 Cu 0.250 0.750 0.500
Te1 Te 0.359 0.359 0.000
Te2 Te 0.641 0.641 0.000



Computed formation energy without anion corrections, in the same sequence as the records: -0.74; -0.75; -0.54; -0.62; -0.62; -0.49; -0.77; -1.16; 0.23; -0.81; -0.09; -0.52 eV per atom.